{"formula": "Zr2ZnAs", "functional": "PBE", "state": "optimized geometry", "magnetic_moment_mub_per_cell": 0.00, "total_energy_ev_per_cell": -25.3, "space_group": "P4/mmm", "rho_kg_m3": 6557, "cell": [[3.871, 0.000, 0.000], [0.000, 3.871, 0.000], [0.000, 0.000, 5.456]], "species": ["Zr", "Zr", "Zn", "As"], "frac_coords": [[0.000, 0.000, 0.000], [0.500, 0.500, 0.500], [0.000, 0.000, 0.500], [0.500, 0.500, 0.000]]}

***

{"formula": "Na2AgCO4", "functional": "PBE", "state": "optimized geometry", "magnetic_moment_mub_per_cell": 2.01, "raw_formation_energy_ev_per_atom": -0.895, "total_energy_ev_per_cell": -83.4, "space_group": "Imma", "rho_kg_m3": 2885, "cell": [[-3.760, 4.496, 3.914], [3.760, -4.496, 3.914], [3.760, 4.496, -3.914]], "species": ["Na", "Na", "Na", "Na", "Ag", "Ag", "C", "C", "O", "O", "O", "O", "O", "O", "O", "O"], "frac_coords": [[0.000, 0.000, 0.000], [0.500, 0.000, 0.000], [0.500, 0.000, 0.500], [0.500, 0.500, 0.500], [0.000, 0.500, 0.500], [0.500, 0.500, 0.000], [0.000, 0.000, 0.500], [0.000, 0.500, 0.000], [0.137, 0.072, 0.435], [0.137, 0.701, 0.065], [0.316, 0.734, 0.581], [0.347, 0.266, 0.081], [0.653, 0.734, 0.919], [0.684, 0.266, 0.419], [0.863, 0.299, 0.935], [0.863, 0.928, 0.565]]}